[1]
# NdSm14Pu

A geometry-optimized NdSm14Pu structure (PBE, the Alexandria database).

The value obtained for the density of states at the Fermi level is 31.0 states/eV/cell. The spin magnetization comes out at 6.4 μB/f.u. As for the formation energy: 66 kJ/mol of formula units. The crystal system is tetragonal.

It has space group P4/mmm (No. 123), with a = 7.250 Å, b = 7.250 Å, c = 10.197 Å, α = 90.00°, β = 90.00° and γ = 90.00°. The inequivalent atoms are Nd at (0.000, 0.000, 0.000), Sm at (0.000, 0.000, 0.500), Sm at (0.000, 0.500, 0.000), Sm at (0.000, 0.500, 0.500), Sm at (0.252, 0.252, 0.248), Sm at (0.500, 0.500, 0.500) and Pu at (0.500, 0.500, 0.000).

[2]
# Nd7Sm12Pu

A geometry-optimized Nd7Sm12Pu structure (PBE, the Alexandria database).

The value obtained for the density of states at the Fermi level is 81.2 states/eV/cell. The spin magnetization comes out at 6.9 μB/f.u. As for the formation energy: 1227 kJ/mol of formula units. The crystal system is cubic.

It has space group Im-3m (No. 229), with a = 11.550 Å, b = 11.550 Å, c = 11.550 Å, α = 90.00°, β = 90.00° and γ = 90.00°. The inequivalent atoms are Nd at (0.000, 0.000, 0.500), Nd at (0.250, 0.250, 0.250), Sm at (0.000, 0.246, 0.246) and Pu at (0.000, 0.000, 0.000).

[3]
# NdSmPu

A geometry-optimized NdSmPu structure (PBE, the Alexandria database).

The value obtained for the density of states at the Fermi level is 8.7 states/eV/cell. The spin magnetization comes out at 6.3 μB/f.u. As for the formation energy: 42 kJ/mol of formula units. The energy above the most stable polymorph in this dataset comes out at 16.0 meV per atom. The crystal system is trigonal.

It has space group P3m1 (No. 156), with a = 3.5956 Å, b = 3.5956 Å, c = 8.6903 Å, α = 90.00°, β = 90.00° and γ = 120.00°. The inequivalent atoms are Nd at (0.0000, 0.0000, 0.0000), Sm at (0.6667, 0.3333, 0.3451) and Pu at (0.3333, 0.6667, 0.6707).

[4]
# Nd6Sm2Pu

A geometry-optimized Nd6Sm2Pu structure (PBE, the Alexandria database).

The value obtained for the density of states at the Fermi level is 35.5 states/eV/cell. The spin magnetization comes out at 6.6 μB/f.u. As for the formation energy: 155 kJ/mol of formula units. The crystal system is monoclinic.

It has space group C2/m (No. 12), with a = 10.356 Å, b = 7.141 Å, c = 8.694 Å, α = 90.00°, β = 104.95° and γ = 90.00°. The inequivalent atoms are Nd at (0.050, 0.244, 0.205), Nd at (0.173, 0.000, 0.575), Sm at (0.229, 0.500, 0.956) and Pu at (0.000, 0.500, 0.500).

[5]
# Nd3Sm8Pu

A geometry-optimized Nd3Sm8Pu structure (PBE, the Alexandria database).

The value obtained for the density of states at the Fermi level is 35.4 states/eV/cell. The spin magnetization comes out at 4.6 μB/f.u. As for the formation energy: 609 kJ/mol of formula units. The crystal system is tetragonal.

It has space group I-42m (No. 121), with a = 8.787 Å, b = 8.787 Å, c = 11.504 Å, α = 90.00°, β = 90.00° and γ = 90.00°. The inequivalent atoms are Nd at (0.000, 0.000, 0.000), Nd at (0.000, 0.500, 0.250), Sm at (0.124, 0.124, 0.735), Sm at (0.233, 0.233, 0.474) and Pu at (0.000, 0.000, 0.500).

[6]
# Nd4Sm5Pu

A geometry-optimized Nd4Sm5Pu structure (PBE, the Alexandria database).

The value obtained for the density of states at the Fermi level is 37.0 states/eV/cell. The spin magnetization comes out at 6.2 μB/f.u. As for the formation energy: 80 kJ/mol of formula units. The crystal system is monoclinic.

It has space group C2/m (No. 12), with a = 17.311 Å, b = 3.585 Å, c = 11.575 Å, α = 90.00°, β = 109.20° and γ = 90.00°. The inequivalent atoms are Nd at (0.087, 0.000, 0.298), Nd at (0.104, 0.500, 0.794), Sm at (0.000, 0.500, 0.000), Sm at (0.192, 0.000, 0.084), Sm at (0.208, 0.000, 0.612) and Pu at (0.000, 0.500, 0.500).

[7]
# Nd12Sm5Pu

A geometry-optimized Nd12Sm5Pu structure (PBE, the Alexandria database).

The value obtained for the density of states at the Fermi level is 62.8 states/eV/cell. The spin magnetization comes out at 6.4 μB/f.u. As for the formation energy: 66 kJ/mol of formula units. The crystal system is monoclinic.

It has space group C2/m (No. 12), with a = 18.972 Å, b = 10.972 Å, c = 6.333 Å, α = 90.00°, β = 109.31° and γ = 90.00°. The inequivalent atoms are Nd at (0.000, 0.164, 0.000), Nd at (0.000, 0.330, 0.500), Nd at (0.165, 0.164, 0.500), Nd at (0.167, 0.334, 0.001), Sm at (0.000, 0.500, 0.000), Sm at (0.165, 0.000, 0.994), Sm at (0.167, 0.500, 0.501) and Pu at (0.000, 0.000, 0.500).

[8]
# NdSmPu

A geometry-optimized NdSmPu structure (PBE, the Alexandria database).

The value obtained for the density of states at the Fermi level is 21.0 states/eV/cell. The spin magnetization comes out at 0.0 μB/f.u. As for the formation energy: 103 kJ/mol of formula units. The energy above the most stable polymorph in this dataset comes out at 226.4 meV per atom. The crystal system is monoclinic.

It has space group C2/m (No. 12), with a = 12.296 Å, b = 3.484 Å, c = 9.024 Å, α = 90.00°, β = 112.04° and γ = 90.00°. The inequivalent atoms are Nd at (0.028, 0.000, 0.227), Sm at (0.159, 0.500, 0.605) and Pu at (0.205, 0.000, 0.035).

no.,E_tot (eV per atom)
1,-5.280
2,-4.581
3,-7.794
4,-5.641
5,-5.006
6,-5.617
7,-5.248
8,-7.583